(1)
Below is a relaxed structure of Pr2PaSe, with properties calculated at the PBE-GGA level.

Unit cell a=10.9508 b=10.9508 c=10.9508 alpha=18.85 beta=18.85 gamma=18.85
Closest atoms and distances in Å follow each position.
Sites, in units of the cell vectors:
Pr  0.1018  0.1018  0.1018  3 Se 2.95, 1 Pa 3.28
Pr  0.8982  0.8982  0.8982  3 Se 2.95, 1 Pa 3.28
Pa  0.0000  0.0000  0.0000  2 Pr 3.28, 6 Pa 3.59
Se  0.5000  0.5000  0.5000  6 Pr 2.95

Output
energy relative to the elements, uncorrected	-0.2512	eV/atom
D(E_F)	1.719	states/eV/atom

=====

(2)
Below is a relaxed structure of KTeRh2, with properties calculated at the PBE-GGA level.

Unit cell a=6.4792 b=6.4792 c=6.4792 alpha=40.52 beta=40.52 gamma=40.52
Closest atoms and distances in Å follow each position.
Sites, in units of the cell vectors:
K  0.0000  0.0000  0.0000  8 Rh 3.43-3.60
Te  0.5000  0.5000  0.5000  6 Rh 2.63
Rh  0.1927  0.1927  0.1927  3 Te 2.63, 3 Rh 2.75
Rh  0.8073  0.8073  0.8073  3 Te 2.63, 3 Rh 2.75

Output
energy relative to the elements, uncorrected	-0.1579	eV/atom
D(E_F)	0.165	states/eV/atom